Entry 1:
Compound: InCu2Ru
Source: the Alexandria database
Functional: meta-GGA SCAN
Structure: PBEsol geometry

Space group: No. 38
Electronic total energy (eV per atom): -24.42
Energy of formation from the pure elements (meV/atom): 238
Total magnetization (μB per cell): 0.9

Cell lengths 2.7297, 4.0781, 5.2295 Å; angles 90.00, 105.16, 90.00 degrees
Site moments in Bohr magnetons follow the coordinates.
Positions (direct):
Ru: 0.5776 0.5000 0.7807  0.90
Cu: 0.1848 0.0000 0.9936  0.03
Cu: 0.3086 0.5000 0.2427  0.03
In: 0.9290 0.0000 0.4830  -0.02

---

Entry 2:
Compound: H2RuW2
Source: the Alexandria database
Functional: meta-GGA SCAN
Structure: PBEsol geometry

Space group: No. 139
Electronic total energy (eV per atom): -36.02
Total magnetization (μB per cell): 0.0

Cell lengths 2.8590, 2.8590, 6.4362 Å; angles 102.83, 102.83, 90.00 degrees
Positions (direct):
H: 0.2500 0.7500 0.5000
H: 0.7500 0.2500 0.5000
W: 0.6463 0.6463 0.2927
W: 0.3537 0.3537 0.7073
Ru: 0.0000 0.0000 0.0000

---

Entry 3:
Compound: LaZrAs
Source: the Alexandria database
Functional: meta-GGA SCAN
Structure: PBEsol geometry

Space group: No. 156
Electronic total energy (eV per atom): -32.10
Energy of formation from the pure elements (meV/atom): -764
Total magnetization (μB per cell): 0.3

Cell lengths 3.8133, 3.8133, 6.3019 Å; angles 90.00, 90.00, 120.00 degrees
Site moments in Bohr magnetons follow the coordinates.
Positions (direct):
La: 0.3333 0.6667 0.7153  0.13
Zr: 0.6667 0.3333 0.2578  -0.03
As: 0.0000 0.0000 0.0269  0.01

---

Entry 4:
Compound: WSe2I
Source: the Alexandria database
Functional: meta-GGA SCAN
Structure: PBEsol geometry

Energy relative to the elements, uncorrected (eV per atom): 0.7879
Space group: No. 166
Electronic total energy (eV per atom): -35.86
Total magnetization (μB per cell): 0.0

Cell lengths 2.9785, 2.9785, 12.3833 Å; angles 83.09, 83.09, 60.00 degrees
Positions (direct):
Se: 0.0677 0.0677 0.7970
Se: 0.9323 0.9323 0.2030
I: 0.5000 0.5000 0.5000
W: 0.0000 0.0000 0.0000

---

Entry 5:
Compound: SrCrFe2Tc
Source: the Alexandria database
Functional: meta-GGA SCAN
Structure: PBEsol geometry

Space group: No. 123
Electronic total energy (eV per atom): -20.61
Energy of formation from the pure elements (meV/atom): 1788
Total magnetization (μB per cell): 4.1

Cell lengths 4.1884, 4.1884, 4.9333 Å; angles 90.00, 90.00, 90.00 degrees
Site moments in Bohr magnetons follow the coordinates.
Positions (direct):
Sr: 0.0000 0.0000 0.5000  -0.08
Cr: 0.0000 0.0000 0.0000  -2.53
Fe: 0.5000 0.0000 0.0000  2.19
Fe: 0.0000 0.5000 0.0000  2.19
Tc: 0.5000 0.5000 0.5000  2.16

---

Entry 6:
Compound: Si2AgTe
Source: the Alexandria database
Functional: meta-GGA SCAN
Structure: PBEsol geometry

Energy relative to the elements, uncorrected (eV per atom): 0.7447
Space group: No. 123
Electronic total energy (eV per atom): -21.42
Total magnetization (μB per cell): 0.0

Cell lengths 3.5212, 4.6701, 4.6701 Å; angles 90.00, 90.00, 90.00 degrees
Positions (direct):
Si: 0.0000 0.0000 0.5000
Si: 0.0000 0.5000 0.0000
Te: 0.5000 0.5000 0.5000
Ag: 0.5000 0.0000 0.0000